Pm4Cd2Hg3: optimized geometry, PBE.

a b c (Å): 5.725 5.725 9.607
angles (deg): 101.35 101.35 52.98
Fractional coordinates of all 9 atoms:
Pm (0.052, 0.052, 0.338)
Pm (0.350, 0.350, 0.097)
Pm (0.650, 0.650, 0.903)
Pm (0.948, 0.948, 0.662)
Cd (0.279, 0.279, 0.742)
Cd (0.721, 0.721, 0.258)
Hg (0.000, 0.000, 0.000)
Hg (0.360, 0.360, 0.430)
Hg (0.640, 0.640, 0.570)

As for the mass density: 9.52 g/cm3. As for the formation energy: -33.0 kJ/mol of atoms. The value obtained for the total magnetic moment is 0.1 μB per cell. The space group is C2/m.



SrPmAlSn: optimized geometry, PBE.

a b c (Å): 5.482 5.482 5.482
angles (deg): 60.00 60.00 60.00
Fractional coordinates of all 4 atoms:
Sr (0.000, 0.000, 0.000)
Pm (0.500, 0.500, 0.500)
Al (0.750, 0.750, 0.750)
Sn (0.250, 0.250, 0.250)

As for the mass density: 5.39 g/cm3. As for the formation energy: -34.2 kJ/mol of atoms. The value obtained for the total magnetic moment is 0.0 μB per cell. The space group is F-43m.



NaPtCl5: optimized geometry, PBE.

a b c (Å): 7.623 7.623 8.514
angles (deg): 96.33 96.33 123.12
Fractional coordinates of all 14 atoms:
Na (0.067, 0.933, 0.750)
Na (0.933, 0.067, 0.250)
Pt (0.500, 0.500, 0.000)
Pt (0.500, 0.500, 0.500)
Cl (0.127, 0.272, 0.975)
Cl (0.203, 0.504, 0.397)
Cl (0.272, 0.127, 0.475)
Cl (0.423, 0.577, 0.750)
Cl (0.496, 0.797, 0.103)
Cl (0.504, 0.203, 0.897)
Cl (0.577, 0.423, 0.250)
Cl (0.728, 0.873, 0.525)
Cl (0.797, 0.496, 0.603)
Cl (0.873, 0.728, 0.025)

As for the mass density: 3.26 g/cm3. The value obtained for the total magnetic moment is 0.0 μB per cell. The energy relative to the lowest polymorph listed for this composition comes out at 0 meV/atom. The space group is C2/c.